The following is a DFT calculation (PBE) of a relaxed LiHoMgS3 crystal.

## Properties
* relative energy among the computed polymorphs: 0.104 eV per atom
* E_tot: -4.92 eV per atom
* magnetization: 0.02 Bohr magnetons per cell

Unit cell a=6.497 b=6.497 c=10.894 alpha=90.00 beta=90.00 gamma=145.02
Positions (direct):
Li1 0.244 0.756 0.750
Li2 0.756 0.244 0.250
Ho1 0.500 0.500 0.000
Ho2 0.500 0.500 0.500
Mg1 0.026 0.974 0.250
Mg2 0.974 0.026 0.750
S1 0.137 0.863 0.073
S2 0.137 0.863 0.427
S3 0.408 0.592 0.250
S4 0.592 0.408 0.750
S5 0.863 0.137 0.573
S6 0.863 0.137 0.927